# 1
# Zn2FeCl

A crystal of Zn2FeCl relaxed with PBEsol (meta-GGA SCAN, Alexandria).

a = 4.5698 Å, b = 4.5698 Å, c = 2.8472 Å
α = 90.00°, β = 90.00°, γ = 90.00°
Closest atoms and distances in Å follow each position.
Fractional positions:
Zn: 0.0000 0.5000 0.0000  4 Cl 2.69, 4 Fe 2.69, 2 Zn 2.85
Zn: 0.5000 0.0000 0.0000  4 Cl 2.69, 4 Fe 2.69, 2 Zn 2.85
Fe: 0.0000 0.0000 0.5000  8 Zn 2.69, 2 Fe 2.85
Cl: 0.5000 0.5000 0.5000  8 Zn 2.69, 2 Cl 2.85

Values from the calculation:
E: -52.1 eV for the cell shown
Space group: P4/mmm
Formation energy (no corrections): 0.250 eV/atom
Energy above the most stable polymorph in this dataset: 217 meV per atom


# 2
# TaVSi4

A crystal of TaVSi4 relaxed with PBEsol (meta-GGA SCAN, Alexandria).

a = 4.6376 Å, b = 12.8988 Å, c = 4.6562 Å
α = 90.00°, β = 119.65°, γ = 90.00°
Closest atoms and distances in Å follow each position.
Fractional positions:
Ta: 0.0000 0.0000 0.0000  10 Si 2.56-2.71
Ta: 0.0000 0.4970 0.0000  10 Si 2.60-2.73
Ta: 0.5000 0.6627 0.0000  10 Si 2.58-2.73
V: 0.0000 0.3300 0.5000  10 Si 2.48-2.73
V: 0.0000 0.8332 0.5000  10 Si 2.52-2.76
V: 0.5000 0.1632 0.0000  10 Si 2.49-2.73
Si: 0.1760 0.6680 0.3436  5 Si 2.50-2.78, 1 V 2.52, 4 Ta 2.61-2.73
Si: 0.1783 0.1677 0.3466  4 Si 2.45-2.67, 4 V 2.48-2.73, 1 Ta 2.58
Si: 0.3346 0.4925 0.6555  1 V 2.49, 5 Si 2.50-2.79, 4 Ta 2.60-2.73
Si: 0.3362 0.9992 0.6622  5 Si 2.51-2.73, 2 V 2.52-2.53, 3 Ta 2.68-2.71
Si: 0.3423 0.8324 0.1824  5 Si 2.50-2.76, 2 Ta 2.56-2.58, 3 V 2.65-2.76
Si: 0.3435 0.3264 0.1748  4 Si 2.45-2.66, 4 V 2.49-2.73, 1 Ta 2.60
Si: 0.6565 0.3264 0.8252  4 Si 2.45-2.66, 4 V 2.49-2.73, 1 Ta 2.60
Si: 0.6577 0.8324 0.8176  5 Si 2.50-2.76, 2 Ta 2.56-2.58, 3 V 2.65-2.76
Si: 0.6638 0.9992 0.3378  5 Si 2.51-2.73, 2 V 2.52-2.53, 3 Ta 2.68-2.71
Si: 0.6654 0.4925 0.3445  1 V 2.49, 5 Si 2.50-2.79, 4 Ta 2.60-2.73
Si: 0.8217 0.1677 0.6534  4 Si 2.45-2.67, 4 V 2.48-2.73, 1 Ta 2.58
Si: 0.8240 0.6680 0.6564  5 Si 2.50-2.78, 1 V 2.52, 4 Ta 2.61-2.73

Values from the calculation:
E: -379.8 eV for the cell shown
Space group: P2
Formation energy (no corrections): -0.411 eV/atom


# 3
# TcPtO3

A crystal of TcPtO3 relaxed with PBEsol (meta-GGA SCAN, Alexandria).

a = 3.8225 Å, b = 3.8225 Å, c = 3.8225 Å
α = 90.00°, β = 90.00°, γ = 90.00°
Closest atoms and distances in Å follow each position.
Fractional positions:
Tc: 0.0000 0.0000 0.0000  6 O 1.91
Pt: 0.5000 0.5000 0.5000  12 O 2.70
O: 0.0000 0.0000 0.5000  2 Tc 1.91
O: 0.0000 0.5000 0.0000  2 Tc 1.91
O: 0.5000 0.0000 0.0000  2 Tc 1.91

Values from the calculation:
E: -125.6 eV for the cell shown
Space group: Pm-3m
Formation energy (no corrections): -0.326 eV/atom